1.
Entry from Alexandria: an optimized crystal structure of YHoBeRh (GGA-PBE).

Summary:
Formation enthalpy at 0 K   -0.381 eV per atom

Lattice parameters (Å, degrees): 6.8487 6.8487 6.8487 90.00 90.00 90.00
Space group F-43m (No. 216)
Unique sites:
Y (0.0000, 0.0000, 0.0000)
Ho (0.0000, 0.0000, 0.5000)
Be (0.2500, 0.2500, 0.7500)
Rh (0.2500, 0.2500, 0.2500)

***

2.
Entry from Alexandria: an optimized crystal structure of Zn2FeCo (GGA-PBE).

Summary:
Formation enthalpy at 0 K   0.015 eV per atom
Offset from the most stable computed form   23 meV/atom

Lattice parameters (Å, degrees): 2.6188 4.1828 4.5459 90.00 90.00 90.00
Space group Pmm2 (No. 25)
Unique sites:
Zn (0.0000, 0.0000, 0.0000)
Zn (0.0000, 0.5000, 0.3216)
Fe (0.5000, 0.0000, 0.5171)
Co (0.5000, 0.5000, 0.8036)

***

3.
Entry from Alexandria: an optimized crystal structure of Pr6TlCl8 (GGA-PBE).

Summary:
E   -69.908 eV/f.u.

Lattice parameters (Å, degrees): 7.0603 7.0603 32.0686 90.00 90.00 120.00
Space group R-3 (No. 148, hexagonal axes)
Unique sites:
Pr (0.0007, 0.6506, 0.4433)
Tl (0.0000, 0.0000, 0.5000)
Cl (0.0000, 0.0000, 0.1665)
Cl (0.0008, 0.6852, 0.6104)

***

4.
Entry from Alexandria: an optimized crystal structure of CaThAlTl (GGA-PBE).

Summary:
Formation enthalpy at 0 K   -0.158 eV per atom

Lattice parameters (Å, degrees): 7.6162 7.6162 7.6162 90.00 90.00 90.00
Space group F-43m (No. 216)
Unique sites:
Ca (0.0000, 0.0000, 0.0000)
Th (0.0000, 0.0000, 0.5000)
Al (0.2500, 0.2500, 0.2500)
Tl (0.2500, 0.2500, 0.7500)